Computed, not measured: Ac2ErSn3Ir4 after structural relaxation at the GGA-PBE level of DFT.

The structure in CIF format:
```
data_Ac2ErSn3Ir4
_chemical_formula_sum 'Ac2 Er1 Sn3 Ir4'
_symmetry_space_group_name_H-M 'P 1'
_symmetry_Int_Tables_number 1
_cell_length_a 4.485
_cell_length_b 4.485
_cell_length_c 11.649
_cell_angle_alpha 90.00
_cell_angle_beta 90.00
_cell_angle_gamma 90.00
loop_
_symmetry_equiv_pos_as_xyz
'x,y,z'
loop_
_atom_site_label
_atom_site_type_symbol
_atom_site_fract_x
_atom_site_fract_y
_atom_site_fract_z
Ac1 Ac 0.500 0.000 0.239
Ac2 Ac 0.000 0.500 0.761
Er1 Er 0.500 0.500 0.500
Sn1 Sn 0.000 0.000 0.500
Sn2 Sn 0.500 0.000 0.876
Sn3 Sn 0.000 0.500 0.124
Ir1 Ir 0.500 0.500 0.000
Ir2 Ir 0.000 0.000 0.000
Ir3 Ir 0.500 0.000 0.646
Ir4 Ir 0.000 0.500 0.354
```

SG: P-4m2, No. 115
Theoretical density, g cm⁻³: 12.4
ΔH_f (0 K), eV/atom: -0.663